[1]
## SrMoPt2 (GGA-PBE)

Data for a relaxed structure of SrMoPt2.

Properties
E_form: 104.0 meV/atom
density of states at the Fermi level: 3.55 states/eV/f.u.
total magnetization: 0.00 μB/f.u.
total DFT energy (no corrections): -6.04 eV per atom

Cell: 3.3783 3.3783 7.2676 Å, 90.00 90.00 90.00°
With the nearest neighbours (Å) after each atom.
Space group P4mm (No. 99)
One atom of each set of equivalent atoms:
Sr (0.0000, 0.0000, 0.0000) [1 per cell]  4 Pt 3.16, 4 Sr 3.38, 4 Mo 3.47
Mo (0.5000, 0.5000, 0.3456) [1 per cell]  5 Pt 2.64-2.68
Pt (0.0000, 0.0000, 0.4992) [1 per cell]  4 Mo 2.64, 4 Pt 2.86
Pt (0.5000, 0.5000, 0.7150) [1 per cell]  1 Mo 2.68, 4 Pt 2.86



[2]
## IrRhO2 (GGA-PBE)

Data for a relaxed structure of IrRhO2.

Properties
density of states at the Fermi level: 4.31 states/eV/f.u.
total magnetization: 0.36 μB/f.u.
total DFT energy (no corrections): -6.88 eV per atom
formation energy without anion corrections: -0.353 eV/atom

Cell: 2.9516 2.9516 18.8599 Å, 90.00 90.00 120.00°
With the nearest neighbours (Å) after each atom.
Space group R-3m (No. 166, hexagonal axes)
One atom of each set of equivalent atoms:
Ir (0.0000, 0.0000, 0.0000) [3 per cell]  2 O 1.99
Rh (0.0000, 0.0000, 0.5000) [3 per cell]  6 O 2.06
O (0.0000, 0.0000, 0.1056) [6 per cell]  1 Ir 1.99, 3 Rh 2.06



[3]
## Tb2Pm6HoTm3 (GGA-PBE)

Data for a relaxed structure of Tb2Pm6HoTm3.

Properties
E_form: 14.1 meV/atom
density of states at the Fermi level: 13.42 states/eV/f.u.
total magnetization: 0.00 μB/f.u.
total DFT energy (no corrections): -4.63 eV per atom

Cell: 6.2231 10.7757 11.7756 Å, 90.00 100.10 90.00°
With the nearest neighbours (Å) after each atom.
Space group C2/m (No. 12)
One atom of each set of equivalent atoms:
Tb (0.0000, 0.1667, 0.0000) [4 per cell]  6 Pm 3.58, 3 Tb 3.59, 3 Ho 3.59
Pm (0.2492, 0.1666, 0.7483) [8 per cell]  3 Tm 3.55, 2 Tb 3.58, 1 Ho 3.58, 6 Pm 3.59
Pm (0.2490, 0.5000, 0.7481) [4 per cell]  3 Tm 3.55, 1 Ho 3.58, 2 Tb 3.58, 6 Pm 3.59
Ho (0.0000, 0.5000, 0.0000) [2 per cell]  6 Pm 3.58, 6 Tb 3.59
Tm (0.0000, 0.0000, 0.5000) [2 per cell]  6 Pm 3.55, 6 Tm 3.59
Tm (0.0000, 0.3333, 0.5000) [4 per cell]  6 Pm 3.55, 6 Tm 3.59



[4]
## Li2NbPbO6 (GGA-PBE)

Data for a relaxed structure of Li2NbPbO6.

Properties
density of states at the Fermi level: 4.91 states/eV/f.u.
total magnetization: 1.04 μB/f.u.
total DFT energy (no corrections): -6.41 eV per atom
formation energy without anion corrections: -1.671 eV/atom

Cell: 5.3020 5.3020 14.5311 Å, 90.00 90.00 120.00°
With the nearest neighbours (Å) after each atom.
Space group R3 (No. 146, hexagonal axes)
One atom of each set of equivalent atoms:
Li (0.0000, 0.0000, 0.0000) [3 per cell]  6 O 2.06-2.26
Li (0.0000, 0.0000, 0.4981) [3 per cell]  3 O 2.03
Nb (0.0000, 0.0000, 0.2170) [3 per cell]  6 O 1.92-2.14
Pb (0.0000, 0.0000, 0.7119) [3 per cell]  6 O 2.15-2.26
O (0.0011, 0.7115, 0.1147) [9 per cell]  2 Li 2.03-2.26, 1 Nb 2.14, 1 Pb 2.15
O (0.0245, 0.3352, 0.2766) [9 per cell]  1 Nb 1.92, 1 Li 2.06



[5]
## NaEu2Mg (GGA-PBE)

Data for a relaxed structure of NaEu2Mg.

Properties
E_form: 77.2 meV/atom
density of states at the Fermi level: 3.04 states/eV/f.u.
total magnetization: 15.24 μB/f.u.
total DFT energy (no corrections): -5.79 eV per atom

Cell: 3.7637 3.7637 36.3239 Å, 90.00 90.00 120.00°
With the nearest neighbours (Å) after each atom.
Space group R-3m (No. 166, hexagonal axes)
One atom of each set of equivalent atoms:
Na (0.0000, 0.0000, 0.0000) [3 per cell]  6 Na 3.76, 6 Eu 3.94
Eu (0.0000, 0.0000, 0.2428) [6 per cell]  3 Mg 3.52, 6 Eu 3.76
Mg (0.0000, 0.0000, 0.5000) [3 per cell]  6 Eu 3.52, 6 Mg 3.76



[6]
## OsRh2Cl (GGA-PBE)

Data for a relaxed structure of OsRh2Cl.

Properties
density of states at the Fermi level: 3.99 states/eV/f.u.
total magnetization: 0.00 μB/f.u.
total DFT energy (no corrections): -6.64 eV per atom
formation energy without anion corrections: 0.304 eV/atom

Cell: 2.8194 2.8194 7.5644 Å, 90.00 90.00 90.00°
With the nearest neighbours (Å) after each atom.
Space group P4/mmm (No. 123)
One atom of each set of equivalent atoms:
Os (0.0000, 0.0000, 0.0000) [1 per cell]  8 Rh 2.68, 4 Os 2.82
Rh (0.5000, 0.5000, 0.2363) [2 per cell]  4 Os 2.68, 4 Rh 2.82, 4 Cl 2.82
Cl (0.0000, 0.0000, 0.5000) [1 per cell]  4 Cl 2.82, 8 Rh 2.82



[7]
## Sr2TeBr (GGA-PBE)

Data for a relaxed structure of Sr2TeBr.

Properties
density of states at the Fermi level: 1.39 states/eV/f.u.
total magnetization: 0.76 μB/f.u.
total DFT energy (no corrections): -3.56 eV per atom
formation energy without anion corrections: -1.520 eV/atom

Cell: 4.5612 4.5612 24.8726 Å, 90.00 90.00 120.00°
With the nearest neighbours (Å) after each atom.
Space group R3m (No. 160, hexagonal axes)
One atom of each set of equivalent atoms:
Sr (0.0000, 0.0000, 0.0000) [3 per cell]  3 Te 3.22, 3 Br 3.31
Sr (0.0000, 0.0000, 0.1786) [3 per cell]  3 Te 3.30, 3 Br 3.59
Te (0.0000, 0.0000, 0.5921) [3 per cell]  6 Sr 3.22-3.30
Br (0.0000, 0.0000, 0.4140) [3 per cell]  6 Sr 3.31-3.59



[8]
## TbCe3Pr4Se8 (GGA-PBE)

Data for a relaxed structure of TbCe3Pr4Se8.

Properties
density of states at the Fermi level: 22.22 states/eV/f.u.
total magnetization: 2.79 μB/f.u.
total DFT energy (no corrections): -6.17 eV per atom
formation energy without anion corrections: -1.832 eV/atom

Cell: 8.4394 8.4394 20.6978 Å, 90.00 90.00 120.00°
With the nearest neighbours (Å) after each atom.
Space group R-3m (No. 166, hexagonal axes)
One atom of each set of equivalent atoms:
Tb (0.0000, 0.0000, 0.0000) [3 per cell]  6 Se 2.92
Ce (0.0000, 0.5000, 0.0000) [9 per cell]  6 Se 2.96
Pr (0.0000, 0.0000, 0.5000) [3 per cell]  6 Se 3.05
Pr (0.0000, 0.5000, 0.5000) [9 per cell]  6 Se 3.01
Se (0.0000, 0.0000, 0.2517) [6 per cell]  3 Ce 2.96, 3 Pr 3.01
Se (0.0043, 0.5022, 0.7470) [18 per cell]  1 Tb 2.92, 2 Ce 2.96, 3 Pr 3.01-3.05



[9]
## Pm2HfSbN5 (GGA-PBE)

Data for a relaxed structure of Pm2HfSbN5.

Properties
total magnetization: 0.00 μB/f.u.
total DFT energy (no corrections): -8.17 eV per atom
formation energy without anion corrections: -0.928 eV/atom

Cell: 3.3808 13.8454 10.7030 Å, 90.00 90.00 90.00°
With the nearest neighbours (Å) after each atom.
Space group Cmc2_1 (No. 36)
One atom of each set of equivalent atoms:
Pm (0.0000, 0.1126, 0.0000) [4 per cell]  3 N 2.39-2.52
Pm (0.0000, 0.1424, 0.5873) [4 per cell]  6 N 2.49-2.69
Hf (0.0000, 0.2236, 0.3113) [4 per cell]  5 N 2.07-2.25
Sb (0.0000, 0.4762, 0.7631) [4 per cell]  4 N 2.01-2.13
N (0.0000, 0.0566, 0.3619) [4 per cell]  2 Sb 2.05
N (0.0000, 0.2808, 0.9490) [4 per cell]  2 Hf 2.24, 3 Pm 2.39-2.49
N (0.0000, 0.3157, 0.6815) [4 per cell]  2 Hf 2.25, 1 Sb 2.39
N (0.0000, 0.3731, 0.3027) [4 per cell]  1 Hf 2.07, 1 Sb 2.13
N (0.0000, 0.4923, 0.0798) [4 per cell]  1 Sb 2.01



[10]
## Sm3PuO8 (GGA-PBE)

Data for a relaxed structure of Sm3PuO8.

Properties
total magnetization: 0.97 μB/f.u.
total DFT energy (no corrections): -8.57 eV per atom
formation energy without anion corrections: -2.894 eV/atom

Cell: 6.0534 10.8075 6.9026 Å, 90.00 90.00 90.00°
With the nearest neighbours (Å) after each atom.
Space group C222 (No. 21)
One atom of each set of equivalent atoms:
Sm (0.0000, 0.0000, 0.0000) [2 per cell]  6 O 2.28-2.36
Sm (0.2500, 0.2500, 0.7680) [4 per cell]  6 O 2.24-2.50
Pu (0.0000, 0.0000, 0.5000) [2 per cell]  6 O 1.98-2.05
O (0.0000, 0.1834, 0.5000) [4 per cell]  1 Pu 1.98
O (0.0000, 0.2114, 0.0000) [4 per cell]  3 Sm 2.24-2.28
O (0.2208, 0.0268, 0.7217) [8 per cell]  1 Pu 2.05



[11]
## BeIn3Sb (GGA-PBE)

Data for a relaxed structure of BeIn3Sb.

Properties
density of states at the Fermi level: 2.76 states/eV/f.u.
total magnetization: 0.00 μB/f.u.
total DFT energy (no corrections): -2.21 eV per atom
formation energy without anion corrections: 1.001 eV/atom

Cell: 5.8624 5.8624 5.8624 Å, 90.00 90.00 90.00°
With the nearest neighbours (Å) after each atom.
Space group Pm-3m (No. 221)
One atom of each set of equivalent atoms:
Be (0.0000, 0.0000, 0.0000) [1 per cell]  12 In 4.15
In (0.0000, 0.5000, 0.5000) [3 per cell]  2 Sb 2.93
Sb (0.5000, 0.5000, 0.5000) [1 per cell]  6 In 2.93



[12]
## PmDy2Ho3 (GGA-PBE)

Data for a relaxed structure of PmDy2Ho3.

Properties
E_form: 10.5 meV/atom
density of states at the Fermi level: 9.78 states/eV/f.u.
total magnetization: 0.00 μB/f.u.
total DFT energy (no corrections): -4.60 eV per atom

Cell: 21.9419 3.6303 11.2787 Å, 90.00 120.91 90.00°
With the nearest neighbours (Å) after each atom.
Space group C2/m (No. 12)
One atom of each set of equivalent atoms:
Pm (0.1115, 0.0000, 0.4861) [4 per cell]  5 Ho 3.50-3.63, 5 Dy 3.53-3.64, 2 Pm 3.63
Dy (0.0564, 0.5000, 0.6844) [4 per cell]  3 Ho 3.49-3.51, 4 Pm 3.54-3.64, 5 Dy 3.59-3.63
Dy (0.2233, 0.0000, 0.8490) [4 per cell]  6 Dy 3.49-3.63, 5 Ho 3.51-3.60, 1 Pm 3.53
Ho (0.0551, 0.5000, 0.1775) [4 per cell]  9 Ho 3.45-3.63, 1 Dy 3.51, 2 Pm 3.54
Ho (0.1114, 0.0000, 0.9872) [4 per cell]  7 Ho 3.48-3.63, 5 Dy 3.49-3.60
Ho (0.2213, 0.0000, 0.3456) [4 per cell]  7 Ho 3.48-3.63, 3 Pm 3.50-3.63, 2 Dy 3.51